MnFeCuF6: relaxed, GGA+U.

DOS(E_F) (states/eV per cell): 14.9
Space group: P-31c
M_tot (μB/f.u.): 10.02
Total DFT energy (no corrections) (Ha/atom): -0.19565

abc: 5.3199 5.3199 9.3684
angles: 90.00 90.00 120.00
Fractional coordinates of all 18 atoms:
Mn  0.0000  0.0000  0.0000
Mn  0.0000  0.0000  0.5000
Fe  0.3333  0.6667  0.2500
Fe  0.6667  0.3333  0.7500
Cu  0.3333  0.6667  0.7500
Cu  0.6667  0.3333  0.2500
F  0.0291  0.3503  0.1307
F  0.0291  0.6788  0.3693
F  0.3212  0.3503  0.3693
F  0.3212  0.9709  0.1307
F  0.3503  0.0291  0.6307
F  0.3503  0.3212  0.8693
F  0.6497  0.6788  0.1307
F  0.6497  0.9709  0.3693
F  0.6788  0.0291  0.8693
F  0.6788  0.6497  0.6307
F  0.9709  0.3212  0.6307
F  0.9709  0.6497  0.8693